Record 1
This record from Alexandria via LeMat-Bulk describes a relaxed LiCd2Te2 crystal. The functional is GGA-PBE.

Unit cell a=8.156 b=8.156 c=4.048 alpha=90.00 beta=90.00 gamma=90.00
Element x y z (fractional)
Li (0.000, 0.000, 0.000)
Li (0.500, 0.500, 0.000)
Cd (0.127, 0.373, 0.000)
Cd (0.373, 0.873, 0.000)
Cd (0.627, 0.127, 0.000)
Cd (0.873, 0.627, 0.000)
Te (0.182, 0.682, 0.500)
Te (0.318, 0.182, 0.500)
Te (0.682, 0.818, 0.500)
Te (0.818, 0.318, 0.500)

Summary:
Energy above the lowest structure with this stoichiometry   92 meV/atom
Space-group type   P4/mbm, No. 127
E   -2.258 eV/atom
Raw formation energy   -0.25 eV/atom

=====

Record 2
This record from Alexandria via LeMat-Bulk describes a relaxed LiCdTe2 crystal. The functional is GGA-PBE.

Unit cell a=7.815 b=4.165 c=6.756 alpha=90.00 beta=108.32 gamma=90.00
Element x y z (fractional)
Li (0.000, 0.000, 0.000)
Li (0.500, 0.500, 0.000)
Cd (0.000, 0.500, 0.500)
Cd (0.500, 0.000, 0.500)
Te (0.249, 0.000, 0.765)
Te (0.251, 0.500, 0.235)
Te (0.749, 0.500, 0.765)
Te (0.751, 0.000, 0.235)

Summary:
Space-group type   C2/m, No. 12
E   -2.706 eV/atom
Raw formation energy   -0.43 eV/atom

=====

Record 3
This record from Alexandria via LeMat-Bulk describes a relaxed Li2CdTe crystal. The functional is GGA-PBE.

Unit cell a=4.003 b=4.003 c=5.684 alpha=90.00 beta=90.00 gamma=90.00
Element x y z (fractional)
Li (0.000, 0.000, 0.000)
Li (0.500, 0.500, 0.310)
Cd (0.500, 0.500, 0.808)
Te (0.000, 0.000, 0.491)

Summary:
Energy above the lowest structure with this stoichiometry   40 meV/atom
Space-group type   P4mm, No. 99
E   -2.456 eV/atom
Raw formation energy   -0.49 eV/atom

=====

Record 4
This record from Alexandria via LeMat-Bulk describes a relaxed LiCdTe2 crystal. The functional is GGA-PBE.

Unit cell a=3.192 b=3.192 c=10.717 alpha=90.00 beta=90.00 gamma=90.00
Element x y z (fractional)
Li (0.000, 0.000, 0.000)
Cd (0.500, 0.500, 0.792)
Te (0.000, 0.000, 0.554)
Te (0.500, 0.500, 0.185)

Summary:
Space-group type   P4mm, No. 99
E   -2.485 eV/atom
Raw formation energy   -0.21 eV/atom

=====

Record 5
This record from Alexandria via LeMat-Bulk describes a relaxed LiCdTe2 crystal. The functional is GGA-PBE.

Unit cell a=6.421 b=8.374 c=4.393 alpha=90.00 beta=112.87 gamma=90.00
Element x y z (fractional)
Li (0.000, 0.000, 0.000)
Li (0.500, 0.500, 0.000)
Cd (0.000, 0.500, 0.000)
Cd (0.500, 0.000, 0.000)
Te (0.250, 0.250, 0.500)
Te (0.250, 0.750, 0.500)
Te (0.750, 0.250, 0.500)
Te (0.750, 0.750, 0.500)

Summary:
Space-group type   C2/m, No. 12
E   -2.622 eV/atom
Raw formation energy   -0.34 eV/atom

=====

Record 6
This record from Alexandria via LeMat-Bulk describes a relaxed Li2CdTe crystal. The functional is GGA-PBE.

Unit cell a=5.769 b=5.769 c=15.780 alpha=90.00 beta=90.00 gamma=90.00
Element x y z (fractional)
Li (0.167, 0.250, 0.125)
Li (0.250, 0.667, 0.375)
Li (0.250, 0.833, 0.875)
Li (0.333, 0.250, 0.625)
Li (0.667, 0.750, 0.625)
Li (0.750, 0.167, 0.875)
Li (0.750, 0.333, 0.375)
Li (0.833, 0.750, 0.125)
Cd (0.000, 0.000, 0.500)
Cd (0.000, 0.500, 0.750)
Cd (0.500, 0.000, 0.250)
Cd (0.500, 0.500, 0.000)
Te (0.000, 0.000, 0.000)
Te (0.000, 0.500, 0.250)
Te (0.500, 0.000, 0.750)
Te (0.500, 0.500, 0.500)

Summary:
Energy above the lowest structure with this stoichiometry   141 meV/atom
Space-group type   I-42d, No. 122
E   -2.355 eV/atom
Raw formation energy   -0.38 eV/atom